Below is crystalline Nd3Ho4Cd at its relaxed geometry, with properties calculated at the PBE level. Values from VASP.

Quantum ESPRESSO input file:
```
&SYSTEM
  ibrav = 0, nat = 16, ntyp = 3
/
ATOMIC_SPECIES
Ho 164.93 Ho.upf
Nd 144.24 Nd.upf
Cd 112.41 Cd.upf
CELL_PARAMETERS angstrom
-2.1218 4.7535 -3.4110
-5.8895 0.2266 3.9793
5.0301 7.2896 7.0294
ATOMIC_POSITIONS crystal
Ho 0.1637 0.8911 0.0000
Ho 0.6637 0.1089 0.5000
Nd 0.9806 0.6179 0.7659
Cd 0.1529 0.3611 0.0000
Cd 0.6529 0.6389 0.5000
Nd 0.9806 0.6179 0.2341
Ho 0.4855 0.8766 0.2583
Nd 0.6236 0.6291 0.0000
Nd 0.4806 0.3821 0.7341
Ho 0.9855 0.1234 0.7583
Ho 0.4855 0.8766 0.7417
Nd 0.1236 0.3709 0.5000
Ho 0.1429 0.8700 0.5000
Ho 0.6429 0.1300 0.0000
Ho 0.9855 0.1234 0.2417
Nd 0.4806 0.3821 0.2659
```

Properties
crystal system	orthorhombic
energy above the lowest structure with this stoichiometry	0.0205	eV/atom
space-group type	No. 31
E_form	-35.8	kJ/mol of formula units

---

Below is crystalline NdHo2Cd2 at its relaxed geometry, with properties calculated at the PBE level. Values from VASP.

Quantum ESPRESSO input file:
```
&SYSTEM
  ibrav = 0, nat = 10, ntyp = 3
/
ATOMIC_SPECIES
Cd 112.41 Cd.upf
Ho 164.93 Ho.upf
Nd 144.24 Nd.upf
CELL_PARAMETERS angstrom
-4.6984 -1.4791 -2.2646
0.4487 -3.4642 1.3318
-6.4667 1.8383 12.2159
ATOMIC_POSITIONS crystal
Cd 0.7500 0.3579 0.2834
Ho 0.2500 0.0470 0.9068
Ho 0.7500 0.9530 0.0932
Ho 0.2500 0.2364 0.5267
Nd 0.7500 0.1493 0.7036
Ho 0.7500 0.7636 0.4733
Cd 0.2500 0.6421 0.7166
Nd 0.2500 0.8507 0.2964
Cd 0.2500 0.4520 0.0953
Cd 0.7500 0.5480 0.9047
```

Properties
crystal system	monoclinic
space-group type	No. 11
E_form	-120.9	kJ/mol of formula units

---

Below is crystalline Nd2HoCd5 at its relaxed geometry, with properties calculated at the PBE level. Values from VASP.

Quantum ESPRESSO input file:
```
&SYSTEM
  ibrav = 0, nat = 8, ntyp = 3
/
ATOMIC_SPECIES
Cd 112.41 Cd.upf
Nd 144.24 Nd.upf
Ho 164.93 Ho.upf
CELL_PARAMETERS angstrom
5.1621 0.0000 0.0000
0.0000 5.1621 0.0000
-2.5811 -2.5811 7.7436
ATOMIC_POSITIONS crystal
Cd 0.6137 0.1137 0.2274
Nd 0.2619 0.2619 0.5238
Nd 0.7381 0.7381 0.4762
Cd 0.8863 0.3863 0.7726
Cd 0.5000 0.5000 0.0000
Cd 0.3863 0.8863 0.7726
Cd 0.1137 0.6137 0.2274
Ho 0.0000 0.0000 0.0000
```

Properties
crystal system	tetragonal
space-group type	No. 139
E_form	-230.5	kJ/mol of formula units

---

Below is crystalline Nd3Ho3Cd at its relaxed geometry, with properties calculated at the PBE level. Values from VASP.

Quantum ESPRESSO input file:
```
&SYSTEM
  ibrav = 0, nat = 14, ntyp = 3
/
ATOMIC_SPECIES
Ho 164.93 Ho.upf
Nd 144.24 Nd.upf
Cd 112.41 Cd.upf
CELL_PARAMETERS angstrom
-3.5831 -3.8999 -1.7776
7.3055 -5.3572 -2.9724
-3.3334 -0.9824 8.8743
ATOMIC_POSITIONS crystal
Ho 0.2500 0.2359 0.1784
Ho 0.7500 0.1784 0.9424
Ho 0.7500 0.7641 0.8216
Nd 0.7500 0.8936 0.5263
Ho 0.7500 0.0577 0.2358
Nd 0.2500 0.5263 0.6328
Nd 0.2500 0.3672 0.8937
Nd 0.7500 0.6328 0.1063
Nd 0.7500 0.4737 0.3672
Ho 0.2500 0.9423 0.7642
Cd 0.7500 0.3334 0.6666
Nd 0.2500 0.1064 0.4737
Cd 0.2500 0.6666 0.3334
Ho 0.2500 0.8216 0.0576
```

Properties
crystal system	hexagonal
space-group type	No. 176
E_form	-26.2	kJ/mol of formula units

---

Below is crystalline Nd12HoCd6 at its relaxed geometry, with properties calculated at the PBE level. Values from VASP.

Quantum ESPRESSO input file:
```
&SYSTEM
  ibrav = 0, nat = 19, ntyp = 3
/
ATOMIC_SPECIES
Nd 144.24 Nd.upf
Cd 112.41 Cd.upf
Ho 164.93 Ho.upf
CELL_PARAMETERS angstrom
-1.7369 -4.9973 6.4438
6.3813 3.0057 4.4449
-4.8205 5.7842 3.5804
ATOMIC_POSITIONS crystal
Nd 0.8076 0.5317 0.4316
Nd 0.1924 0.4683 0.5684
Nd 0.9559 0.8460 0.6148
Nd 0.6148 0.9559 0.8460
Cd 0.7416 0.2614 0.1136
Nd 0.0441 0.1540 0.3852
Nd 0.4683 0.5684 0.1924
Nd 0.3852 0.0441 0.1540
Nd 0.5317 0.4316 0.8076
Cd 0.2614 0.1136 0.7416
Nd 0.5684 0.1924 0.4683
Nd 0.4316 0.8076 0.5317
Cd 0.8864 0.2584 0.7386
Cd 0.2584 0.7386 0.8864
Nd 0.1540 0.3852 0.0441
Ho 0.0000 0.0000 0.0000
Cd 0.7386 0.8864 0.2584
Cd 0.1136 0.7416 0.2614
Nd 0.8460 0.6148 0.9559
```

Properties
crystal system	trigonal
space-group type	No. 148
E_form	-193.1	kJ/mol of formula units

---

Below is crystalline Nd3Ho2Cd2 at its relaxed geometry, with properties calculated at the PBE level. Values from VASP.

Quantum ESPRESSO input file:
```
&SYSTEM
  ibrav = 0, nat = 7, ntyp = 3
/
ATOMIC_SPECIES
Nd 144.24 Nd.upf
Cd 112.41 Cd.upf
Ho 164.93 Ho.upf
CELL_PARAMETERS angstrom
5.1028 0.0000 0.6772
0.0000 3.5126 0.0000
1.0256 0.0000 11.8357
ATOMIC_POSITIONS crystal
Nd 0.0000 0.0000 0.0000
Cd 0.5694 0.5000 0.8612
Ho 0.2895 0.5000 0.4209
Nd 0.8537 0.0000 0.2927
Nd 0.1463 0.0000 0.7073
Ho 0.7105 0.5000 0.5791
Cd 0.4306 0.5000 0.1388
```

Properties
crystal system	orthorhombic
space-group type	No. 65
E_form	-39.3	kJ/mol of formula units

---

Below is crystalline Nd14HoCd at its relaxed geometry, with properties calculated at the PBE level. Values from VASP.

Quantum ESPRESSO input file:
```
&SYSTEM
  ibrav = 0, nat = 16, ntyp = 3
/
ATOMIC_SPECIES
Nd 144.24 Nd.upf
Cd 112.41 Cd.upf
Ho 164.93 Ho.upf
CELL_PARAMETERS angstrom
7.1785 0.9626 0.0000
-0.9636 7.1783 0.0000
0.0000 0.0000 10.3357
ATOMIC_POSITIONS crystal
Nd 0.1239 0.8761 0.7552
Nd 0.3756 0.1253 0.0000
Cd 0.8747 0.1253 0.0000
Nd 0.8749 0.1251 0.5000
Nd 0.6261 0.3739 0.7546
Nd 0.6261 0.8761 0.7549
Nd 0.1239 0.8761 0.2448
Nd 0.1239 0.3739 0.2451
Nd 0.6261 0.8761 0.2451
Nd 0.3747 0.1246 0.5000
Nd 0.8754 0.6253 0.5000
Nd 0.8747 0.6244 0.0000
Ho 0.3749 0.6251 0.0000
Nd 0.3751 0.6249 0.5000
Nd 0.6261 0.3739 0.2454
Nd 0.1239 0.3739 0.7549
```

Properties
crystal system	orthorhombic
space-group type	No. 38
E_form	-22.0	kJ/mol of formula units

---

Below is crystalline Nd6Ho8Cd at its relaxed geometry, with properties calculated at the PBE level. Values from VASP.

Quantum ESPRESSO input file:
```
&SYSTEM
  ibrav = 0, nat = 15, ntyp = 3
/
ATOMIC_SPECIES
Nd 144.24 Nd.upf
Ho 164.93 Ho.upf
Cd 112.41 Cd.upf
CELL_PARAMETERS angstrom
6.3021 0.0000 0.0000
0.0000 8.2296 -4.7514
0.0000 0.0000 9.5027
ATOMIC_POSITIONS crystal
Nd 0.3092 0.0902 0.4534
Nd 0.6908 0.6368 0.0902
Ho 0.1836 0.6667 0.3333
Cd 0.5000 0.0000 0.0000
Nd 0.6908 0.4534 0.3632
Ho 0.8071 0.0410 0.2610
Ho 0.8164 0.3333 0.6667
Nd 0.3092 0.3632 0.9098
Ho 0.8071 0.2201 0.9590
Nd 0.6908 0.9098 0.5466
Ho 0.8071 0.7390 0.7799
Ho 0.1929 0.9590 0.7390
Nd 0.3092 0.5466 0.6368
Ho 0.1929 0.7799 0.0410
Ho 0.1929 0.2610 0.2201
```

Properties
crystal system	trigonal
space-group type	No. 147
E_form	116.4	kJ/mol of formula units